[1]
This record from the Alexandria database describes CaAg2Os after structural relaxation. The functional is PBE-GGA.

Unit cell a=9.9317 b=2.8153 c=5.3497 alpha=90.00 beta=98.23 gamma=90.00
Last column: nearest neighbours and their distance in Å.
Element x y z (fractional)
Ca (0.0000, 0.0000, 0.0000)  2 Ca 2.82, 7 Ag 2.97-3.11, 3 Os 3.00-3.01
Ca (0.5000, 0.5000, 0.0000)  2 Ca 2.82, 7 Ag 2.97-3.11, 3 Os 3.00-3.01
Ag (0.0077, 0.5000, 0.5128)  5 Ag 2.82-2.97, 3 Os 2.90-3.00, 4 Ca 2.97-3.07
Ag (0.2591, 0.5000, 0.2714)  5 Ag 2.82-2.97, 4 Os 2.91-3.14, 3 Ca 2.97-3.11
Ag (0.5077, 0.0000, 0.5128)  5 Ag 2.82-2.97, 3 Os 2.90-3.00, 4 Ca 2.97-3.07
Ag (0.7591, 0.0000, 0.2714)  5 Ag 2.82-2.97, 4 Os 2.91-3.14, 3 Ca 2.97-3.11
Os (0.2497, 0.0000, 0.7440)  2 Os 2.82, 7 Ag 2.90-3.14, 3 Ca 3.00-3.01
Os (0.7497, 0.5000, 0.7440)  2 Os 2.82, 7 Ag 2.90-3.14, 3 Ca 3.00-3.01

Output
calculated formation energy = 468 meV/atom
energy above the lowest structure with this stoichiometry = 29 meV/atom

***

[2]
This record from the Alexandria database describes Rb3Bi4Pb4 after structural relaxation. The functional is PBE-GGA.

Unit cell a=17.2105 b=17.2105 c=17.2105 alpha=163.04 beta=161.14 gamma=25.47
Last column: nearest neighbours and their distance in Å.
Element x y z (fractional)
Rb (0.0000, 0.0000, 0.0000)  8 Pb 4.10, 4 Bi 4.36
Rb (0.1432, 0.6432, 0.5000)  6 Bi 4.07-4.30, 6 Pb 4.19-4.30
Rb (0.8568, 0.3568, 0.5000)  6 Bi 4.07-4.30, 6 Pb 4.19-4.30
Bi (0.2468, 0.2468, 0.0000)  4 Pb 3.18-3.29
Bi (0.4010, 0.9010, 0.5000)  3 Pb 3.09-3.26
Bi (0.5990, 0.0990, 0.5000)  3 Pb 3.09-3.26
Bi (0.7532, 0.7532, 0.0000)  4 Pb 3.18-3.29
Pb (0.3038, 0.8038, 0.5000)  5 Bi 3.18-3.29
Pb (0.4535, 0.4535, 0.0000)  2 Bi 3.09, 1 Pb 3.12
Pb (0.5465, 0.5465, 0.0000)  2 Bi 3.09, 1 Pb 3.12
Pb (0.6962, 0.1962, 0.5000)  5 Bi 3.18-3.29

Output
calculated formation energy = -142 meV/atom
energy above the lowest structure with this stoichiometry = 21 meV/atom

***

[3]
This record from the Alexandria database describes Pr2Bi after structural relaxation. The functional is PBE-GGA.

Unit cell a=4.6750 b=4.6750 c=18.2816 alpha=90.00 beta=90.00 gamma=90.00
Last column: nearest neighbours and their distance in Å.
Element x y z (fractional)
Pr (0.0000, 0.0000, 0.1787)  5 Bi 3.33-3.39
Pr (0.0000, 0.0000, 0.8213)  5 Bi 3.33-3.39
Pr (0.0000, 0.5000, 0.0000)  4 Pr 3.31, 4 Bi 3.45
Pr (0.0000, 0.5000, 0.5000)  4 Pr 3.31, 4 Bi 3.45
Pr (0.5000, 0.0000, 0.0000)  4 Pr 3.31, 4 Bi 3.45
Pr (0.5000, 0.0000, 0.5000)  4 Pr 3.31, 4 Bi 3.45
Pr (0.5000, 0.5000, 0.3213)  5 Bi 3.33-3.39
Pr (0.5000, 0.5000, 0.6787)  5 Bi 3.33-3.39
Bi (0.0000, 0.0000, 0.3611)  9 Pr 3.33-3.45
Bi (0.0000, 0.0000, 0.6389)  9 Pr 3.33-3.45
Bi (0.5000, 0.5000, 0.1389)  9 Pr 3.33-3.45
Bi (0.5000, 0.5000, 0.8611)  9 Pr 3.33-3.45

Output
calculated formation energy = -682 meV/atom

***

[4]
This record from the Alexandria database describes Li2AgMo after structural relaxation. The functional is PBE-GGA.

Unit cell a=2.7136 b=2.7136 c=8.7067 alpha=90.00 beta=90.00 gamma=90.00
Last column: nearest neighbours and their distance in Å.
Element x y z (fractional)
Li (0.0000, 0.0000, 0.0000)  8 Li 2.71-3.01, 4 Ag 2.77
Li (0.5000, 0.5000, 0.2671)  8 Li 2.71-3.01, 4 Mo 2.85
Ag (0.5000, 0.5000, 0.7710)  4 Ag 2.71, 4 Li 2.77, 4 Mo 2.98
Mo (0.0000, 0.0000, 0.5092)  4 Mo 2.71, 4 Li 2.85, 4 Ag 2.98

Output
calculated formation energy = 249 meV/atom
energy above the lowest structure with this stoichiometry = 74 meV/atom

***

Which of these has the lowest calculated formation energy? Pr2Bi

***

Copy entry 4 word for word.
This record from the Alexandria database describes Li2AgMo after structural relaxation. The functional is PBE-GGA.

Unit cell a=2.7136 b=2.7136 c=8.7067 alpha=90.00 beta=90.00 gamma=90.00
Last column: nearest neighbours and their distance in Å.
Element x y z (fractional)
Li (0.0000, 0.0000, 0.0000)  8 Li 2.71-3.01, 4 Ag 2.77
Li (0.5000, 0.5000, 0.2671)  8 Li 2.71-3.01, 4 Mo 2.85
Ag (0.5000, 0.5000, 0.7710)  4 Ag 2.71, 4 Li 2.77, 4 Mo 2.98
Mo (0.0000, 0.0000, 0.5092)  4 Mo 2.71, 4 Li 2.85, 4 Ag 2.98

Output
calculated formation energy = 249 meV/atom
energy above the lowest structure with this stoichiometry = 74 meV/atom

***

Among the records above, which one has the lowest calculated formation energy? Pr2Bi

***

Repeat the third record exactly.
This record from the Alexandria database describes Pr2Bi after structural relaxation. The functional is PBE-GGA.

Unit cell a=4.6750 b=4.6750 c=18.2816 alpha=90.00 beta=90.00 gamma=90.00
Last column: nearest neighbours and their distance in Å.
Element x y z (fractional)
Pr (0.0000, 0.0000, 0.1787)  5 Bi 3.33-3.39
Pr (0.0000, 0.0000, 0.8213)  5 Bi 3.33-3.39
Pr (0.0000, 0.5000, 0.0000)  4 Pr 3.31, 4 Bi 3.45
Pr (0.0000, 0.5000, 0.5000)  4 Pr 3.31, 4 Bi 3.45
Pr (0.5000, 0.0000, 0.0000)  4 Pr 3.31, 4 Bi 3.45
Pr (0.5000, 0.0000, 0.5000)  4 Pr 3.31, 4 Bi 3.45
Pr (0.5000, 0.5000, 0.3213)  5 Bi 3.33-3.39
Pr (0.5000, 0.5000, 0.6787)  5 Bi 3.33-3.39
Bi (0.0000, 0.0000, 0.3611)  9 Pr 3.33-3.45
Bi (0.0000, 0.0000, 0.6389)  9 Pr 3.33-3.45
Bi (0.5000, 0.5000, 0.1389)  9 Pr 3.33-3.45
Bi (0.5000, 0.5000, 0.8611)  9 Pr 3.33-3.45

Output
calculated formation energy = -682 meV/atom